Here is crystalline Ba2HfFeP at its relaxed geometry from Alexandria. Energies are from PBE-GGA.

```
data_Ba2HfFeP
_space_group_name_H-M_alt 'P 4/m m m'
_space_group_IT_number 123
_space_group_name_Hall '-P 4 2'
_cell_length_a 6.3446
_cell_length_b 6.3446
_cell_length_c 4.4094
_cell_angle_alpha 90.00
_cell_angle_beta 90.00
_cell_angle_gamma 90.00
loop_
_atom_site_label
_atom_site_type_symbol
_atom_site_fract_x
_atom_site_fract_y
_atom_site_fract_z
Ba1 Ba 0.0000 0.5000 0.0000
Hf1 Hf 0.0000 0.0000 0.0000
Fe1 Fe 0.0000 0.0000 0.5000
P1 P 0.5000 0.5000 0.5000
```

Computed properties:
The calculation puts the energy relative to the elements at 4.5 eV/f.u. The value obtained for the density of states at the Fermi level is 6.0 states/eV/cell.